{"formula": "BaPdRhO6", "functional": "GGA-PBE", "state": "optimized geometry", "lattice": [[5.310, 0.000, 0.000], [-2.655, 4.598, 0.000], [0.000, 0.000, 5.762]], "species": ["Ba", "Pd", "Rh", "O", "O", "O", "O", "O", "O"], "frac_coords": [[0.000, 0.000, 0.000], [0.333, 0.667, 0.500], [0.667, 0.333, 0.500], [0.382, 0.007, 0.690], [0.382, 0.376, 0.310], [0.624, 0.007, 0.310], [0.624, 0.618, 0.690], [0.993, 0.376, 0.690], [0.993, 0.618, 0.310]], "formation_energy_uncorrected_ev_per_atom": -0.990, "crystal_system": "trigonal", "sg": "P312 (149)"}